# NbTlCl3

A geometry-optimized NbTlCl3 structure (GGA-PBE, the Alexandria database).

a b c (Å): 5.164 5.164 5.164
angles (deg): 90.00 90.00 90.00
Element x y z (fractional)
Nb 0.000 0.000 0.000
Tl 0.500 0.500 0.500
Cl 0.000 0.000 0.500
Cl 0.000 0.500 0.000
Cl 0.500 0.000 0.000

Summary:
Final energy (eV/atom): -4.353
Volume (Å³ per cell): 137.71
Raw formation energy (eV/atom): -0.758
SG: Pm-3m (221)
Offset from the most stable computed form (kJ per mole of atoms): 26.1